# LaIn2Ni, relaxed, DFT PBE
# **E_tot**: -17.24 eV for the cell shown
# **V**: 22.2 A^3/atom
# **Formation energy**: -0.2624 eV per atom
# **Density of states at the Fermi level**: 3.168 states/eV/cell
data_LaIn2Ni
_space_group_name_H-M_alt 'P 4/m m m'
_space_group_IT_number 123
_space_group_name_Hall '-P 4 2'
_cell_length_a 3.352
_cell_length_b 3.352
_cell_length_c 7.909
_cell_angle_alpha 90.00
_cell_angle_beta 90.00
_cell_angle_gamma 90.00
loop_
_atom_site_label
_atom_site_type_symbol
_atom_site_fract_x
_atom_site_fract_y
_atom_site_fract_z
La1 La 0.000 0.000 0.000
In1 In 0.500 0.500 0.311
Ni1 Ni 0.000 0.000 0.500